VASP calculation (PBE) on a geometry-optimized Nd2PuTc2N6 structure.

Geometry as POSCAR:
```
Nd2PuTc2N6
1.0
5.7774 0.0000 0.0000
2.8887 5.0034 0.0000
2.8887 1.6678 5.8437
Nd Tc N Pu
2 2 6 1
direct
0.2084 0.2084 0.3748
0.7916 0.7916 0.6252
0.6016 0.6016 0.1953
0.3984 0.3984 0.8047
0.2544 0.2544 0.7156
0.7456 0.2243 0.2844
0.2243 0.7456 0.2844
0.2544 0.7757 0.7156
0.7456 0.7456 0.2844
0.7757 0.2544 0.7156
0.0000 0.0000 0.0000
```

Fermi-level density of states: 0.78 states/eV/atom
E_form (uncorrected): -0.61 eV per atom
total magnetic moment: 0.471 μB per atom

VASP calculation (PBE) on a geometry-optimized Sr2PaBe2N4 structure.

Geometry as POSCAR:
```
Sr2PaBe2N4
1.0
3.3572 0.0000 0.0000
0.0000 6.7566 -0.0412
-1.6786 -2.7006 5.5360
Be Sr Pa N
2 2 1 4
direct
0.6763 0.9638 0.3527
0.3237 0.0362 0.6473
0.8620 0.4044 0.7239
0.1380 0.5956 0.2761
0.0000 0.0000 0.0000
0.4769 0.2277 0.9537
0.2080 0.1156 0.4159
0.5231 0.7723 0.0463
0.7920 0.8844 0.5841
```

Fermi-level density of states: 0.35 states/eV/atom
E_form (uncorrected): -0.99 eV per atom
total magnetic moment: 0.064 μB per atom

VASP calculation (PBE) on a geometry-optimized K2AlCd structure.

Geometry as POSCAR:
```
K2AlCd
1.0
3.1226 0.0000 0.0000
0.0000 8.5717 -0.5853
0.0000 4.9435 5.1259
Al K Cd
1 2 1
direct
0.5000 0.5000 0.5000
0.5000 0.5000 0.0000
0.0000 0.0000 0.0000
0.0000 0.0000 0.5000
```

Fermi-level density of states: 1.04 states/eV/atom
VASP energy: -5.447 eV/cell
total magnetic moment: 0.000 μB per atom

VASP calculation (PBE) on a geometry-optimized BaSr2PbS4 structure.

Geometry as POSCAR:
```
BaSr2PbS4
1.0
-5.0625 -5.1530 4.8507
7.0573 -3.2598 3.9091
-1.3490 8.5958 -0.0808
Pb S Ba Sr
2 8 2 4
direct
0.5000 0.5000 0.5000
0.0000 0.0000 0.0000
0.2594 0.7614 0.5104
0.7448 0.7551 0.4975
0.7386 0.2406 0.9896
0.2614 0.7594 0.0104
0.2551 0.2448 0.9975
0.2552 0.2449 0.5025
0.7449 0.7552 0.0025
0.7406 0.2386 0.4896
0.0000 0.5000 0.0000
0.0000 0.5000 0.5000
0.5000 0.5000 0.0000
0.5000 0.0000 0.5000
0.5000 0.0000 0.0000
0.0000 0.0000 0.5000
```

Fermi-level density of states: 0.00 states/eV/atom
E_form (uncorrected): -1.72 eV per atom
total magnetic moment: 0.000 μB per atom

VASP calculation (PBE) on a geometry-optimized CeAgSn structure.

Geometry as POSCAR:
```
CeAgSn
1.0
-3.8051 2.0318 -2.8180
-4.6746 -2.1667 0.0396
-1.6412 3.6294 4.8332
Ce Ag Sn
2 2 2
direct
0.0000 0.0000 0.2802
0.0000 0.0000 0.7198
0.3333 0.3333 0.4999
0.6667 0.6667 0.5001
0.3333 0.3333 0.0001
0.6667 0.6667 0.9999
```

Fermi-level density of states: 1.71 states/eV/atom
VASP energy: -27.425 eV/cell
total magnetic moment: 0.253 μB per atom

VASP calculation (PBE) on a geometry-optimized KAgI2 structure.

Geometry as POSCAR:
```
KAgI2
1.0
-6.9620 1.3486 4.3589
-3.9356 -5.7984 -4.4919
-4.1295 -5.5497 3.0694
I K Ag
4 2 2
direct
0.0658 0.6250 0.2500
0.6842 0.1250 0.2500
0.8750 0.9342 0.7500
0.3750 0.3158 0.7500
0.5000 0.5000 0.0000
0.2500 0.7500 0.5000
0.0000 0.0000 0.0000
0.7500 0.2500 0.5000
```

Fermi-level density of states: 0.00 states/eV/atom
E_form (uncorrected): -0.83 eV per atom
total magnetic moment: 0.000 μB per atom

VASP calculation (PBE) on a geometry-optimized InSiAg2 structure.

Geometry as POSCAR:
```
InSiAg2
1.0
-2.0484 1.3257 -3.8928
-2.9859 0.0037 1.5725
-0.0819 4.8432 1.6924
In Ag Si
1 2 1
direct
0.0000 0.4470 0.5385
0.5000 0.2775 0.1972
0.0000 0.8327 0.0144
0.5000 0.9429 0.7500
```

Fermi-level density of states: 0.30 states/eV/atom
E_form (uncorrected): 0.23 eV per atom
total magnetic moment: 0.000 μB per atom

VASP calculation (PBE) on a geometry-optimized BaReAu2 structure.

Geometry as POSCAR:
```
BaReAu2
1.0
-0.9471 -4.1237 -1.8266
2.9540 -0.6324 -0.1041
0.2223 -2.7945 6.1936
Ba Au Re
1 2 1
direct
0.0000 0.5636 0.4876
0.0000 0.1288 0.9345
0.5000 0.1196 0.2108
0.5000 0.6880 0.8672
```

Fermi-level density of states: 1.02 states/eV/atom
VASP energy: -18.866 eV/cell
total magnetic moment: 0.122 μB per atom